YBeFe4: relaxed, PBE.

Cell: 4.8737 4.8737 4.8737 Å, 60.00 60.00 60.00°
Element x y z (fractional)
Y (0.0000, 0.0000, 0.0000)
Be (0.7500, 0.7500, 0.7500)
Fe (0.3766, 0.3766, 0.3766)
Fe (0.3766, 0.3766, 0.8703)
Fe (0.3766, 0.8703, 0.3766)
Fe (0.8703, 0.3766, 0.3766)

Computed properties:
The formation energy is 0.13 eV per atom. Its density is 6.5 g/cm3. As for the total magnetization: 6.68 μB per formula unit. Its symmetry is F-43m. For the density of states at the Fermi level, the calculation gives 6.23 states/eV/f.u.

***

YBe2Fe: relaxed, PBE.

Cell: 4.3523 4.3523 4.3523 Å, 60.00 60.00 60.00°
Element x y z (fractional)
Y (0.0000, 0.0000, 0.0000)
Be (0.2500, 0.2500, 0.2500)
Be (0.5000, 0.5000, 0.5000)
Fe (0.7500, 0.7500, 0.7500)

Computed properties:
The formation energy is 0.44 eV per atom. Its density is 4.6 g/cm3. As for the total magnetization: 2.10 μB per formula unit. Its symmetry is F-43m. For the density of states at the Fermi level, the calculation gives 6.64 states/eV/f.u.

***

YBe2Fe: relaxed, PBE.

Cell: 4.2650 4.2650 4.2650 Å, 60.00 60.00 60.00°
Element x y z (fractional)
Y (0.0000, 0.0000, 0.0000)
Be (0.2500, 0.2500, 0.2500)
Be (0.7500, 0.7500, 0.7500)
Fe (0.5000, 0.5000, 0.5000)

Computed properties:
The formation energy is 0.31 eV per atom. Its density is 4.9 g/cm3. As for the total magnetization: 0.02 μB per formula unit. Its symmetry is Fm-3m. For the density of states at the Fermi level, the calculation gives 7.37 states/eV/f.u.

***

Y3Be2Fe7: relaxed, PBE.

Cell: 8.2913 8.2913 8.2913 Å, 35.77 35.77 35.77°
Element x y z (fractional)
Y (0.0000, 0.0000, 0.0000)
Y (0.1411, 0.1411, 0.1411)
Y (0.8589, 0.8589, 0.8589)
Be (0.3329, 0.3329, 0.3329)
Be (0.6671, 0.6671, 0.6671)
Fe (0.0783, 0.5755, 0.5755)
Fe (0.4245, 0.4245, 0.9217)
Fe (0.4245, 0.9217, 0.4245)
Fe (0.5000, 0.5000, 0.5000)
Fe (0.5755, 0.0783, 0.5755)
Fe (0.5755, 0.5755, 0.0783)
Fe (0.9217, 0.4245, 0.4245)

Computed properties:
The formation energy is -0.11 eV per atom. Its density is 6.4 g/cm3. As for the total magnetization: 11.66 μB per formula unit. Its symmetry is R-3m. For the density of states at the Fermi level, the calculation gives 8.43 states/eV/f.u.

***

Y3BeFe: relaxed, PBE.

Cell: 5.1012 5.1012 5.1012 Å, 90.00 90.00 90.00°
Element x y z (fractional)
Y (0.0000, 0.0000, 0.5000)
Y (0.0000, 0.5000, 0.0000)
Y (0.5000, 0.0000, 0.0000)
Be (0.5000, 0.5000, 0.5000)
Fe (0.0000, 0.0000, 0.0000)

Computed properties:
The formation energy is 0.44 eV per atom. Its density is 4.1 g/cm3. As for the total magnetization: 0.00 μB per formula unit. Its symmetry is Pm-3m. For the density of states at the Fermi level, the calculation gives 3.26 states/eV/f.u.

***

YBe2Fe: relaxed, PBE.

Cell: 2.9947 2.9947 6.2665 Å, 90.00 90.00 90.00°
Element x y z (fractional)
Y (0.0000, 0.0000, 0.0000)
Be (0.0000, 0.0000, 0.5400)
Be (0.5000, 0.5000, 0.3582)
Fe (0.5000, 0.5000, 0.6938)

Computed properties:
The formation energy is 0.28 eV per atom. Its density is 4.8 g/cm3. As for the total magnetization: 0.31 μB per formula unit. Its symmetry is P4mm. For the density of states at the Fermi level, the calculation gives 3.32 states/eV/f.u.

***

YBeZn2Fe: relaxed, PBE.

Cell: 4.6354 4.6354 4.7936 Å, 90.00 90.00 90.00°
Element x y z (fractional)
Y (0.0000, 0.0000, 0.0000)
Be (0.5000, 0.5000, 0.0000)
Zn (0.0000, 0.5000, 0.5000)
Zn (0.5000, 0.0000, 0.5000)
Fe (0.0000, 0.0000, 0.5000)

Computed properties:
The formation energy is 0.64 eV per atom. Its density is 4.6 g/cm3. As for the total magnetization: 0.81 μB per formula unit. Its symmetry is P4/mmm. For the density of states at the Fermi level, the calculation gives 3.49 states/eV/f.u.

***

YZrBe2Fe: relaxed, PBE.

Cell: 4.7122 4.7122 4.5186 Å, 90.00 90.00 90.00°
Element x y z (fractional)
Y (0.0000, 0.0000, 0.0000)
Zr (0.5000, 0.5000, 0.5000)
Be (0.0000, 0.5000, 0.5000)
Be (0.5000, 0.0000, 0.5000)
Fe (0.5000, 0.5000, 0.0000)

Computed properties:
The formation energy is 0.90 eV per atom. Its density is 4.2 g/cm3. As for the total magnetization: 1.60 μB per formula unit. Its symmetry is P4/mmm. For the density of states at the Fermi level, the calculation gives 5.60 states/eV/f.u.

***

BeZnFe3: relaxed, PBE.

Cell: 4.3457 4.3457 4.3457 Å, 90.00 90.00 90.00°
Element x y z (fractional)
Be (0.0000, 0.0000, 0.0000)
Zn (0.5000, 0.5000, 0.5000)
Fe (0.0000, 0.5000, 0.5000)
Fe (0.5000, 0.0000, 0.5000)
Fe (0.5000, 0.5000, 0.0000)

Computed properties:
The formation energy is 1.40 eV per atom. Its density is 4.9 g/cm3. As for the total magnetization: 7.85 μB per formula unit. Its symmetry is Pm-3m. For the density of states at the Fermi level, the calculation gives 2.82 states/eV/f.u.

***

Be17ZnFe: relaxed, PBE.

Cell: 5.4948 5.4948 5.4948 Å, 81.44 81.44 81.44°
Element x y z (fractional)
Be (0.0570, 0.0570, 0.0570)
Be (0.1533, 0.1533, 0.6589)
Be (0.1529, 0.4725, 0.8487)
Be (0.1533, 0.6589, 0.1533)
Be (0.1529, 0.8487, 0.4725)
Be (0.2566, 0.2566, 0.2566)
Be (0.3071, 0.8198, 0.8198)
Be (0.4725, 0.1529, 0.8487)
Be (0.4725, 0.8487, 0.1529)
Be (0.5063, 0.5063, 0.9875)
Be (0.5063, 0.9875, 0.5063)
Be (0.6589, 0.1533, 0.1533)
Be (0.8198, 0.3071, 0.8198)
Be (0.8198, 0.8198, 0.3071)
Be (0.8487, 0.1529, 0.4725)
Be (0.8487, 0.4725, 0.1529)
Be (0.9875, 0.5063, 0.5063)
Zn (0.5174, 0.5174, 0.5174)
Fe (0.8420, 0.8420, 0.8420)

Computed properties:
The formation energy is 0.01 eV per atom. Its density is 2.8 g/cm3. As for the total magnetization: 0.00 μB per formula unit. Its symmetry is R3m. For the density of states at the Fermi level, the calculation gives 3.44 states/eV/f.u.

***

BeZn2Fe: relaxed, PBE.

Cell: 2.5549 3.7782 5.0872 Å, 90.00 104.53 90.00°
Element x y z (fractional)
Be (0.0000, 0.0000, 0.0000)
Zn (0.2298, 0.0000, 0.4579)
Zn (0.8607, 0.5000, 0.7158)
Fe (0.5875, 0.5000, 0.1745)

Computed properties:
The formation energy is 0.05 eV per atom. Its density is 6.8 g/cm3. As for the total magnetization: 1.67 μB per formula unit. Its symmetry is Pm. For the density of states at the Fermi level, the calculation gives 1.81 states/eV/f.u.

***

Be2ZnFe: relaxed, PBE.

Cell: 4.8502 4.8502 4.8502 Å, 104.11 104.11 120.84°
Element x y z (fractional)
Be (0.1161, 0.1250, 0.4911)
Be (0.3750, 0.8839, 0.0089)
Be (0.6339, 0.6250, 0.5089)
Be (0.8750, 0.3661, 0.9911)
Zn (0.2500, 0.7500, 0.5000)
Zn (0.5000, 0.5000, 0.0000)
Fe (0.0000, 0.0000, 0.0000)
Fe (0.7500, 0.2500, 0.5000)

Computed properties:
The formation energy is 0.40 eV per atom. Its density is 5.4 g/cm3. As for the total magnetization: 0.00 μB per formula unit. Its symmetry is I-42d. For the density of states at the Fermi level, the calculation gives 0.62 states/eV/f.u.